Below is crystalline MnNCl2 at its relaxed geometry, with properties calculated at the PBE level.

SG: Fm-3m (225)

abc: 4.1592 4.1592 4.1592
angles: 60.00 60.00 60.00
Sites, in units of the cell vectors:
N1 0.0000 0.0000 0.0000
Mn1 0.5000 0.5000 0.5000
Cl1 0.2500 0.2500 0.2500
Cl2 0.7500 0.7500 0.7500



Below is crystalline Ba2AgSn2 at its relaxed geometry, with properties calculated at the PBE level.

SG: P4/mbm (127)
Formation energy from the elements, kJ/mol of atoms: -22.01

abc: 9.3593 9.3593 4.8781
angles: 90.00 90.00 90.00
Sites, in units of the cell vectors:
Ba1 0.3119 0.8119 0.0000
Ba2 0.8119 0.6881 0.0000
Ba3 0.6881 0.1881 0.0000
Ba4 0.1881 0.3119 0.0000
Ag1 0.0000 0.0000 0.0000
Ag2 0.5000 0.5000 0.0000
Sn1 0.1033 0.6033 0.5000
Sn2 0.6033 0.8967 0.5000
Sn3 0.8967 0.3967 0.5000
Sn4 0.3967 0.1033 0.5000



Below is crystalline Rb3In2Te4 at its relaxed geometry, with properties calculated at the PBE level.

SG: C2/m (12)

abc: 5.1897 8.4158 11.3133
angles: 120.32 90.00 107.96
Sites, in units of the cell vectors:
Rb1 0.6241 0.2482 0.7419
Rb2 0.0000 0.0000 0.0000
Rb3 0.3759 0.7518 0.2581
In1 0.6837 0.3675 0.3524
In2 0.3163 0.6325 0.6476
Te1 0.6912 0.3824 0.1135
Te2 0.3088 0.6176 0.8865
Te3 0.8890 0.7779 0.5989
Te4 0.1110 0.2221 0.4011



Below is crystalline BaLiInAu at its relaxed geometry, with properties calculated at the PBE level.

SG: F-43m (216)
Formation energy from the elements, kJ/mol of atoms: -32.57

abc: 5.3248 5.3248 5.3248
angles: 60.00 60.00 60.00
Sites, in units of the cell vectors:
Li1 0.5000 0.5000 0.5000
Au1 0.0000 0.0000 0.0000
Ba1 0.7500 0.7500 0.7500
In1 0.2500 0.2500 0.2500



Below is crystalline Cs2Tl3AgBr6 at its relaxed geometry, with properties calculated at the PBE level.

SG: C2/m (12)

abc: 8.3971 8.3971 8.4277
angles: 99.92 99.92 120.20
Sites, in units of the cell vectors:
Cs1 0.3348 0.6652 0.0000
Cs2 0.6652 0.3348 0.0000
Tl1 0.1606 0.8394 0.5000
Tl2 0.8394 0.1606 0.5000
Tl3 0.5000 0.5000 0.5000
Ag1 0.0000 0.0000 0.0000
Br1 0.9282 0.6545 0.7712
Br2 0.7736 0.7736 0.2788
Br3 0.0718 0.3455 0.2288
Br4 0.6545 0.9282 0.7712
Br5 0.2264 0.2264 0.7212
Br6 0.3455 0.0718 0.2288



Below is crystalline Ce2TcBi at its relaxed geometry, with properties calculated at the PBE level.

SG: C2/m (12)
Formation energy from the elements, kJ/mol of atoms: -18.01

abc: 6.2953 6.1464 12.0686
angles: 91.37 90.00 90.00
Sites, in units of the cell vectors:
Ce1 0.7500 0.9883 0.9150
Ce2 0.2500 0.0117 0.0850
Ce3 0.7500 0.5117 0.5850
Ce4 0.2500 0.4883 0.4150
Ce5 0.7500 0.4295 0.1271
Ce6 0.2500 0.5705 0.8729
Ce7 0.7500 0.0705 0.3729
Ce8 0.2500 0.9295 0.6271
Tc1 0.2500 0.5435 0.6135
Tc2 0.7500 0.4565 0.3865
Tc3 0.2500 0.9565 0.8865
Tc4 0.7500 0.0435 0.1135
Bi1 0.2500 0.9837 0.3570
Bi2 0.7500 0.0163 0.6430
Bi3 0.2500 0.5163 0.1430
Bi4 0.7500 0.4837 0.8570



Below is crystalline Tb2ThPt3 at its relaxed geometry, with properties calculated at the PBE level.

SG: I4/mmm (139)
Formation energy from the elements, kJ/mol of atoms: -114.31

abc: 4.1280 4.1280 9.2159
angles: 102.95 102.95 89.97
Sites, in units of the cell vectors:
Tb1 0.1021 0.1031 0.2094
Tb2 0.7667 0.7678 0.5386
Th1 0.4340 0.4361 0.8740
Pt1 0.9340 0.9361 0.8740
Pt2 0.2683 0.2695 0.5419
Pt3 0.6004 0.6015 0.2060



Below is crystalline CsBaInCl6 at its relaxed geometry, with properties calculated at the PBE level.

SG: P-31c (163)

abc: 7.5962 7.5962 14.3175
angles: 90.00 90.00 120.00
Sites, in units of the cell vectors:
Cs1 0.0000 0.0000 0.0000
Cs2 0.0000 0.0000 0.5000
Ba1 0.3333 0.6667 0.2500
Ba2 0.6667 0.3333 0.7500
In1 0.6667 0.3333 0.2500
In2 0.3333 0.6667 0.7500
Cl1 0.6532 0.6010 0.1455
Cl2 0.9478 0.3468 0.1455
Cl3 0.3468 0.9478 0.6455
Cl4 0.0522 0.6532 0.8545
Cl5 0.3990 0.3468 0.3545
Cl6 0.9478 0.6010 0.3545
Cl7 0.6010 0.9478 0.8545
Cl8 0.6532 0.0522 0.3545
Cl9 0.0522 0.3990 0.6455
Cl10 0.3990 0.0522 0.1455
Cl11 0.6010 0.6532 0.6455
Cl12 0.3468 0.3990 0.8545



Raw total energy / eV/atom: -3.67, -3.17, -3.05, -2.80, -2.86, -6.72, -6.99, -3.63